The following is a DFT calculation (PBE) of a geometry-optimized CaPm2Pu structure.

Computed properties:
D(E_F)   11.46 states/eV per cell
Final energy   -6.221 eV per atom
Magnetization   5.91 μB per formula unit
Energy above the most stable polymorph in this dataset   9.95 kJ per mole of atoms
Energy of formation   22.9 kJ/mol of atoms

Unit cell a=12.7554 b=12.7554 c=12.7554 alpha=16.01 beta=16.01 gamma=16.01
Closest atoms and distances in Å follow each position.
Fractional positions:
1 Ca 0.0000 0.0000 0.0000  2 Pm 3.49, 6 Ca 3.55
2 Pm 0.0923 0.0923 0.0923  3 Pu 3.48, 1 Ca 3.49, 6 Pm 3.55
3 Pm 0.9077 0.9077 0.9077  3 Pu 3.48, 1 Ca 3.49, 6 Pm 3.55
4 Pu 0.5000 0.5000 0.5000  6 Pm 3.48, 6 Pu 3.55

***

The following is a DFT calculation (PBE) of a geometry-optimized Dy3Mg4Rh4 structure.

Computed properties:
D(E_F)   3.96 states/eV per cell
Final energy   -5.084 eV per atom
Magnetization   0.00 μB per formula unit
Energy of formation   -55.6 kJ/mol of atoms

Unit cell a=8.6686 b=8.6686 c=8.6686 alpha=155.14 beta=124.87 gamma=61.38
Closest atoms and distances in Å follow each position.
Fractional positions:
1 Dy 0.0000 0.0000 0.0000  4 Rh 3.01
2 Dy 0.3906 0.8906 0.5000  6 Rh 2.82-2.98
3 Dy 0.6094 0.1094 0.5000  6 Rh 2.82-2.98
4 Mg 0.0149 0.3275 0.6875  4 Rh 2.65-2.77
5 Mg 0.3600 0.6725 0.6875  4 Rh 2.65-2.77
6 Mg 0.6400 0.3275 0.3125  4 Rh 2.65-2.77
7 Mg 0.9851 0.6725 0.3125  4 Rh 2.65-2.77
8 Rh 0.2489 0.2489 0.0000  6 Mg 2.65-2.77, 2 Dy 2.82
9 Rh 0.2937 0.5000 0.7937  2 Mg 2.71, 6 Dy 2.98-3.01
10 Rh 0.7063 0.5000 0.2063  2 Mg 2.71, 6 Dy 2.98-3.01
11 Rh 0.7511 0.7511 0.0000  6 Mg 2.65-2.77, 2 Dy 2.82

***

The following is a DFT calculation (PBE) of a geometry-optimized Er2GaSi2Ir5 structure.

Computed properties:
D(E_F)   5.32 states/eV per cell
Energy relative to the elements, uncorrected   -857 meV/atom
Final energy   -7.587 eV per atom
Magnetization   0.00 μB per formula unit

Unit cell a=9.6230 b=9.6230 c=3.5147 alpha=90.00 beta=90.00 gamma=90.00
Closest atoms and distances in Å follow each position.
Fractional positions:
1 Er 0.1746 0.3254 0.0000  3 Si 2.73-2.92, 2 Ir 2.96
2 Er 0.3254 0.8254 0.0000  3 Si 2.73-2.92, 2 Ir 2.96
3 Er 0.6746 0.1746 0.0000  3 Si 2.73-2.92, 2 Ir 2.96
4 Er 0.8254 0.6746 0.0000  3 Si 2.73-2.92, 2 Ir 2.96
5 Ga 0.0000 0.0000 0.0000  8 Ir 2.75
6 Ga 0.5000 0.5000 0.0000  8 Ir 2.75
7 Si 0.1250 0.6250 0.0000  6 Ir 2.43-2.45
8 Si 0.3750 0.1250 0.0000  6 Ir 2.43-2.45
9 Si 0.6250 0.8750 0.0000  6 Ir 2.43-2.45
10 Si 0.8750 0.3750 0.0000  6 Ir 2.43-2.45
11 Ir 0.0000 0.5000 0.5000  4 Si 2.45
12 Ir 0.0673 0.7901 0.5000  2 Si 2.43
13 Ir 0.2099 0.0673 0.5000  2 Si 2.43
14 Ir 0.2901 0.5673 0.5000  2 Si 2.43
15 Ir 0.4327 0.2901 0.5000  2 Si 2.43
16 Ir 0.5000 0.0000 0.5000  4 Si 2.45
17 Ir 0.5673 0.7099 0.5000  2 Si 2.43
18 Ir 0.7099 0.4327 0.5000  2 Si 2.43
19 Ir 0.7901 0.9327 0.5000  2 Si 2.43
20 Ir 0.9327 0.2099 0.5000  2 Si 2.43

***

The following is a DFT calculation (PBE) of a geometry-optimized TcPBr2 structure.

Computed properties:
D(E_F)   2.83 states/eV per cell
Energy relative to the elements, uncorrected   1157 meV/atom
Final energy   -3.624 eV per atom
Magnetization   0.00 μB per formula unit
Energy above the most stable polymorph in this dataset   128.47 kJ per mole of atoms

Unit cell a=4.6523 b=4.6523 c=3.3206 alpha=90.00 beta=90.00 gamma=90.00
Closest atoms and distances in Å follow each position.
Fractional positions:
1 Tc 0.0000 0.0000 0.0000  8 Br 2.86
2 P 0.5000 0.5000 0.0000  8 Br 2.86
3 Br 0.0000 0.5000 0.5000  4 Tc 2.86, 4 P 2.86
4 Br 0.5000 0.0000 0.5000  4 Tc 2.86, 4 P 2.86